(1)
Density functional theory data (PBE) for an optimized crystal structure of PmAgSeO.

Structure (POSCAR):
```
PmAgSeO
1.0
5.714 0.000 0.000
0.000 5.714 0.000
0.000 0.000 9.413
Pm Ag Se O
4 4 4 4
Cartesian
0.000 0.000 0.000
0.000 2.857 2.327
2.857 0.000 2.327
2.857 2.857 0.000
1.317 1.540 5.854
1.540 4.397 5.854
4.174 1.317 5.854
4.397 4.174 5.854
0.000 0.000 3.948
0.000 2.857 7.804
2.857 0.000 7.804
2.857 2.857 3.948
1.425 1.432 1.163
1.432 4.289 1.163
4.282 1.425 1.163
4.289 4.282 1.163
```

Results
The calculation puts the volume at 19.21 Å³/atom. The calculation puts the polymorph energy (0 for the lowest one) at 0.000 eV/atom. The space-group type is P4bm, No. 100. The total energy comes out at -94.925 eV/cell.

(2)
Density functional theory data (PBE) for an optimized crystal structure of LuBeCuSb.

Structure (POSCAR):
```
LuBeCuSb
1.0
0.000 3.346 3.346
3.346 0.000 3.346
3.346 3.346 0.000
Lu Be Cu Sb
1 1 1 1
Cartesian
0.000 0.000 0.000
5.019 5.019 5.019
3.346 3.346 3.346
1.673 1.673 1.673
```

Results
The calculation puts the volume at 18.73 Å³/atom. The calculation puts the polymorph energy (0 for the lowest one) at 0.126 eV/atom. The space-group type is F-43m, No. 216. The total energy comes out at -15.340 eV/cell.